This record from the Alexandria database describes a relaxed K2Li2NdCl6 crystal. The functional is PBE-GGA.

Lattice parameters (Å, degrees): 6.894 6.894 7.370 90.00 90.00 120.00
Sites, in units of the cell vectors:
K 0.667 0.333 0.500
K 0.333 0.667 0.500
Li 0.333 0.667 0.000
Li 0.667 0.333 0.000
Nd 0.000 0.000 0.000
Cl 0.000 0.356 0.800
Cl 0.644 0.644 0.800
Cl 0.356 0.000 0.800
Cl 0.000 0.644 0.200
Cl 0.356 0.356 0.200
Cl 0.644 0.000 0.200

Symmetry: P-31m (162)
Magnetic moment (μB per atom): 0.089
Density of states at the Fermi level (states/eV/cell): 6.08
Raw formation energy (meV per atom): -1808
Total DFT energy (no corrections) (eV per cell): -41.8